*i*
FeNi2RuN PBE optimized geometry; symmetry = No. 123; spin magnetization = 4.5 μB per cell; DOS(E_F) = 5.4 states/eV/cell
1.0
3.804 0.000 0.000
0.000 3.804 0.000
0.000 0.000 3.939
Fe Ni Ru N
1 2 1 1
direct
0.000 0.000 0.000
0.000 0.500 0.500
0.500 0.000 0.500
0.500 0.500 0.000
0.500 0.500 0.500


*ii*
FeNi2RuN PBE optimized geometry; symmetry = No. 123; spin magnetization = 4.2 μB per cell; DOS(E_F) = 5.6 states/eV/cell
1.0
3.782 0.000 0.000
0.000 3.782 0.000
0.000 0.000 3.827
Fe Ni Ru N
1 2 1 1
direct
0.000 0.000 0.000
0.000 0.500 0.500
0.500 0.000 0.500
0.500 0.500 0.000
0.000 0.000 0.500


Stability, highest: *i*